This record from Alexandria describes crystalline Mg2Ga2Ge at its relaxed geometry. The functional is PBE.

a = 7.8898 Å, b = 7.8898 Å, c = 3.2849 Å
α = 90.00°, β = 90.00°, γ = 90.00°
Atoms (fractional coordinates):
Ga1 0.8433 0.3433 0.5000
Ga2 0.3433 0.1567 0.5000
Ga3 0.1567 0.6567 0.5000
Ga4 0.6567 0.8433 0.5000
Ge1 0.5000 0.5000 0.0000
Ge2 0.0000 0.0000 0.0000
Mg1 0.6441 0.1441 0.0000
Mg2 0.1441 0.3559 0.0000
Mg3 0.3559 0.8559 0.0000
Mg4 0.8559 0.6441 0.0000

Computed properties:
Energy (eV per cell): -27.038
Distance to the lowest polymorph of the same formula (meV/atom): 83
SG: No. 127
Energy of formation (kJ/mol of formula units): 33

=====

This record from Alexandria describes crystalline TlPdRh2 at its relaxed geometry. The functional is PBE.

a = 3.8558 Å, b = 3.8558 Å, c = 10.0908 Å
α = 78.99°, β = 78.99°, γ = 90.00°
Atoms (fractional coordinates):
Pd1 0.2500 0.7500 0.5000
Pd2 0.5000 0.5000 0.0000
Rh1 0.8750 0.8481 0.7500
Rh2 0.5981 0.1250 0.2500
Rh3 0.1519 0.6250 0.2500
Rh4 0.3750 0.4019 0.7500
Tl1 0.7500 0.2500 0.5000
Tl2 0.0000 0.0000 0.0000

Computed properties:
Energy (eV per cell): -41.341
Distance to the lowest polymorph of the same formula (meV/atom): 301
SG: No. 122
Energy of formation (kJ/mol of formula units): 154

=====

This record from Alexandria describes crystalline GaAgSbOsPt at its relaxed geometry. The functional is PBE.

a = 4.2794 Å, b = 4.2794 Å, c = 5.7737 Å
α = 90.00°, β = 90.00°, γ = 120.00°
Atoms (fractional coordinates):
Ag1 0.3333 0.6667 0.9579
Pt1 0.0000 0.0000 0.7242
Os1 0.3333 0.6667 0.4503
Sb1 0.0000 0.0000 0.2269
Ga1 0.6667 0.3333 0.6145

Computed properties:
Energy (eV per cell): -27.180
Distance to the lowest polymorph of the same formula (meV/atom): 85
SG: No. 156

=====

Respective total magnetization values: 0.000, 0.311, 0.000 μB/atom.